Arrangement a

# LaZnNi | the Open Quantum Materials Database | PBE | optimized geometry
data_LaZnNi
_chemical_formula_sum 'La3 Zn3 Ni3'
_space_group_name_H-M_alt 'P -6 2 m'
_space_group_IT_number 189
_space_group_name_Hall 'P -6 -2'
_cell_length_a 6.8576
_cell_length_b 6.8576
_cell_length_c 4.3882
_cell_angle_alpha 90.00
_cell_angle_beta 90.00
_cell_angle_gamma 120.00
loop_
_atom_site_label
_atom_site_fract_x
_atom_site_fract_y
_atom_site_fract_z
_atom_site_occupancy
La1 0.0000 0.5664 0.0000 1
Zn1 0.0000 0.0000 0.0000 1
Zn2 0.3333 0.6667 0.5000 1
Ni1 0.0000 0.2157 0.5000 1
# **Magnetization**: 0.00 μB per formula unit


Arrangement b

# LaZnNi | the Open Quantum Materials Database | PBE | optimized geometry
data_LaZnNi
_chemical_formula_sum 'La3 Zn3 Ni3'
_space_group_name_H-M_alt 'P -6 2 m'
_space_group_IT_number 189
_space_group_name_Hall 'P -6 -2'
_cell_length_a 8.1380
_cell_length_b 8.1380
_cell_length_c 3.1839
_cell_angle_alpha 90.00
_cell_angle_beta 90.00
_cell_angle_gamma 120.00
loop_
_atom_site_label
_atom_site_fract_x
_atom_site_fract_y
_atom_site_fract_z
_atom_site_occupancy
La1 0.0000 0.3031 0.0000 1
Zn1 0.0000 0.0000 0.5000 1
Zn2 0.3333 0.6667 0.0000 1
Ni1 0.0000 0.6195 0.5000 1
# **Magnetization**: 0.03 μB per formula unit


Arrangement c

# LaZnNi | the Open Quantum Materials Database | PBE | optimized geometry
data_LaZnNi
_chemical_formula_sum 'La2 Zn2 Ni2'
_space_group_name_H-M_alt 'P 63/m m c'
_space_group_IT_number 194
_space_group_name_Hall '-P 6c 2c'
_cell_length_a 4.3193
_cell_length_b 4.3193
_cell_length_c 7.7354
_cell_angle_alpha 90.00
_cell_angle_beta 90.00
_cell_angle_gamma 120.00
loop_
_atom_site_label
_atom_site_fract_x
_atom_site_fract_y
_atom_site_fract_z
_atom_site_occupancy
La1 0.0000 0.0000 0.0000 1
Zn1 0.3333 0.6667 0.2500 1
Ni1 0.3333 0.6667 0.7500 1
# **Magnetization**: 0.00 μB per formula unit


Arrangement d

# LaZnNi | the Open Quantum Materials Database | PBE | optimized geometry
data_LaZnNi
_chemical_formula_sum 'La3 Zn3 Ni3'
_space_group_name_H-M_alt 'P -6 2 m'
_space_group_IT_number 189
_space_group_name_Hall 'P -6 -2'
_cell_length_a 7.1718
_cell_length_b 7.1718
_cell_length_c 4.0015
_cell_angle_alpha 90.00
_cell_angle_beta 90.00
_cell_angle_gamma 120.00
loop_
_atom_site_label
_atom_site_fract_x
_atom_site_fract_y
_atom_site_fract_z
_atom_site_occupancy
La1 0.0000 0.5828 0.0000 1
Zn1 0.0000 0.2282 0.5000 1
Ni1 0.0000 0.0000 0.0000 1
Ni2 0.3333 0.6667 0.5000 1
# **Magnetization**: 0.00 μB per formula unit


Last place for stability: arrangement b


Arrangement a

# LaPOsO | the Open Quantum Materials Database | PBE | optimized geometry
data_LaPOsO
_chemical_formula_sum 'La2 P2 Os2 O2'
_space_group_name_H-M_alt 'P 4 m m'
_space_group_IT_number 99
_cell_length_a 4.0641
_cell_length_b 4.0641
_cell_length_c 8.4438
_cell_angle_alpha 90.00
_cell_angle_beta 90.00
_cell_angle_gamma 90.00
loop_
_space_group_symop_operation_xyz
'x,y,z'
'-y,x,z'
'-x,-y,z'
'y,-x,z'
'-x,y,z'
'y,x,z'
'x,-y,z'
'-y,-x,z'
loop_
_atom_site_label
_atom_site_fract_x
_atom_site_fract_y
_atom_site_fract_z
_atom_site_occupancy
La1 0.0000 0.0000 0.0000 1
La2 0.5000 0.5000 0.2895 1
P1 0.0000 0.0000 0.5028 1
P2 0.5000 0.5000 0.7853 1
Os1 0.0000 0.5000 0.6443 1
O1 0.0000 0.5000 0.1444 1
# **Magnetization**: 0.00 μB per formula unit


Arrangement b

# LaPOsO | the Open Quantum Materials Database | PBE | optimized geometry
data_LaPOsO
_chemical_formula_sum 'La2 P2 Os2 O2'
_space_group_name_H-M_alt 'P 4/n m m'
_space_group_IT_number 129
_cell_length_a 4.2781
_cell_length_b 4.2781
_cell_length_c 6.9954
_cell_angle_alpha 90.00
_cell_angle_beta 90.00
_cell_angle_gamma 90.00
loop_
_space_group_symop_operation_xyz
'x,y,z'
'-x,-y,-z'
'-y+1/2,x,z'
'y+1/2,-x,-z'
'-x+1/2,-y+1/2,z'
'x+1/2,y+1/2,-z'
'y,-x+1/2,z'
'-y,x+1/2,-z'
'x+1/2,-y,-z'
'-x+1/2,y,z'
'-y,-x,-z'
'y,x,z'
'-x,y+1/2,-z'
'x,-y+1/2,z'
'y+1/2,x+1/2,-z'
'-y+1/2,-x+1/2,z'
loop_
_atom_site_label
_atom_site_fract_x
_atom_site_fract_y
_atom_site_fract_z
_atom_site_occupancy
La1 0.2500 0.7500 0.0000 1
P1 0.2500 0.2500 0.2950 1
Os1 0.2500 0.2500 0.6263 1
O1 0.2500 0.7500 0.5000 1
# **Magnetization**: 0.00 μB per formula unit


Last place for stability: arrangement b


Arrangement a

# LaPOsO | the Open Quantum Materials Database | PBE | optimized geometry
data_LaPOsO
_chemical_formula_sum 'La2 P2 Os2 O2'
_space_group_name_H-M_alt 'P 4/n m m'
_space_group_IT_number 129
_cell_length_a 4.0599
_cell_length_b 4.0599
_cell_length_c 8.4738
_cell_angle_alpha 90.00
_cell_angle_beta 90.00
_cell_angle_gamma 90.00
loop_
_space_group_symop_operation_xyz
'x,y,z'
'-x,-y,-z'
'-y+1/2,x,z'
'y+1/2,-x,-z'
'-x+1/2,-y+1/2,z'
'x+1/2,y+1/2,-z'
'y,-x+1/2,z'
'-y,x+1/2,-z'
'x+1/2,-y,-z'
'-x+1/2,y,z'
'-y,-x,-z'
'y,x,z'
'-x,y+1/2,-z'
'x,-y+1/2,z'
'y+1/2,x+1/2,-z'
'-y+1/2,-x+1/2,z'
loop_
_atom_site_label
_atom_site_fract_x
_atom_site_fract_y
_atom_site_fract_z
_atom_site_occupancy
La1 0.2500 0.2500 0.1443 1
P1 0.2500 0.2500 0.6411 1
Os1 0.2500 0.7500 0.5000 1
O1 0.2500 0.7500 0.0000 1
# **Magnetization**: 0.00 μB per formula unit


Arrangement b

# LaPOsO | the Open Quantum Materials Database | PBE | optimized geometry
data_LaPOsO
_chemical_formula_sum 'La2 P2 Os2 O2'
_space_group_name_H-M_alt 'P m c 21'
_space_group_IT_number 26
_cell_length_a 3.2718
_cell_length_b 7.7999
_cell_length_c 5.4038
_cell_angle_alpha 90.00
_cell_angle_beta 90.00
_cell_angle_gamma 90.00
loop_
_space_group_symop_operation_xyz
'x,y,z'
'-x,-y,z+1/2'
'-x,y,z'
'x,-y,z+1/2'
loop_
_atom_site_label
_atom_site_fract_x
_atom_site_fract_y
_atom_site_fract_z
_atom_site_occupancy
La1 0.0000 0.1799 0.0000 1
P1 0.0000 0.4245 0.4991 1
Os1 0.5000 0.2233 0.4999 1
O1 0.5000 0.0015 0.7532 1
# **Magnetization**: 0.00 μB per formula unit


Arrangement c

# LaPOsO | the Open Quantum Materials Database | PBE | optimized geometry
data_LaPOsO
_chemical_formula_sum 'La2 P2 Os2 O2'
_space_group_name_H-M_alt 'P m c 21'
_space_group_IT_number 26
_cell_length_a 4.3401
_cell_length_b 4.1994
_cell_length_c 7.2372
_cell_angle_alpha 90.00
_cell_angle_beta 90.00
_cell_angle_gamma 90.00
loop_
_space_group_symop_operation_xyz
'x,y,z'
'-x,-y,z+1/2'
'-x,y,z'
'x,-y,z+1/2'
loop_
_atom_site_label
_atom_site_fract_x
_atom_site_fract_y
_atom_site_fract_z
_atom_site_occupancy
La1 0.0000 0.2483 0.0000 1
P1 0.5000 0.2494 0.6691 1
Os1 0.5000 0.2510 0.3360 1
O1 0.0000 0.2518 0.3327 1
# **Magnetization**: 0.31 μB per formula unit


Last place for stability: arrangement b